No. 1
Entry from Alexandria via LeMat-Bulk: In2AgPb at its PBEsol-relaxed geometry (SCAN).

Unit cell a=3.256 b=5.633 c=5.633 alpha=112.53 beta=90.00 gamma=90.00
Sites, in units of the cell vectors:
In 0.000 0.500 0.000
In 0.000 0.000 0.500
Pb 0.500 0.000 0.000
Ag 0.500 0.500 0.500

Properties
Its crystal system is orthorhombic. For the magnetic moment, the calculation gives 0.00 μB per formula unit. The space group is Cmmm (65).



No. 2
Entry from Alexandria via LeMat-Bulk: InAgPb2 at its PBEsol-relaxed geometry (SCAN).

Unit cell a=3.390 b=3.390 c=10.266 alpha=80.49 beta=80.49 gamma=60.00
Sites, in units of the cell vectors:
Ag 0.504 0.504 0.489
In 0.240 0.240 0.280
Pb 0.760 0.760 0.720
Pb 0.996 0.996 0.011

Properties
Its crystal system is trigonal. For the magnetic moment, the calculation gives 0.00 μB per formula unit. The space group is R3m (160).



Formation energy from the elements (computed, eV/atom): 0.1433; 0.0814